Density functional theory data (PBE with a Hubbard U) for a relaxed structure of KPmMnF6.

a = 6.0306 Å, b = 6.0306 Å, c = 10.7107 Å
α = 90.00°, β = 90.00°, γ = 120.00°
Last column: magnetic moment on the atom in μB.
Sites, in units of the cell vectors:
F 0.6352 0.6205 0.6437  0.02
F 0.6352 0.0147 0.8563  0.02
F 0.3648 0.9853 0.1437  0.02
F 0.0147 0.3795 0.1437  0.02
F 0.3795 0.0147 0.6437  0.02
F 0.6205 0.9853 0.3563  0.02
F 0.9853 0.3648 0.6437  0.02
F 0.3648 0.3795 0.3563  0.02
F 0.0147 0.6352 0.3563  0.02
F 0.3795 0.3648 0.8563  0.02
F 0.6205 0.6352 0.1437  0.02
F 0.9853 0.6205 0.8563  0.02
Mn 0.6667 0.3333 0.7500  4.69
Mn 0.3333 0.6667 0.2500  4.69
Pm 0.6667 0.3333 0.2500  0.00
Pm 0.3333 0.6667 0.7500  0.00
K 0.0000 0.0000 0.5000  0.00
K 0.0000 0.0000 0.0000  0.00

Properties
DOS at the Fermi energy ... 0.00 states/eV/f.u.
Total magnetization ... 5.000 μB/f.u.
Space group ... P-31c, No. 163
E_tot ... -6.03 eV/atom